# 1
Below is a geometry-optimized PrSmB2Pd2N2 structure, with properties calculated at the PBE-GGA level.

The symmetry is P4mm. The value obtained for the theoretical density is 8.28 Mg/m³. The total energy is -7.2339 eV/atom. The total magnetization is 0.00 μB per cell.

Cell lengths 3.7848, 3.7848, 7.7547 Å; angles 90.00, 90.00, 90.00 degrees
With the nearest neighbours (Å) after each atom.
Fractional positions:
1 Pr 0.0000 0.0000 0.0000  5 N 2.44-2.68
2 Sm 0.5000 0.5000 0.6724  5 N 2.41-2.68
3 B 0.0000 0.0000 0.5024  1 N 1.42
4 B 0.5000 0.5000 0.1668  1 N 1.43
5 Pd 0.0000 0.5000 0.3373  4 B 2.29-2.31
6 Pd 0.5000 0.0000 0.3373  4 B 2.29-2.31
7 N 0.0000 0.0000 0.6856  1 B 1.42
8 N 0.5000 0.5000 0.9827  1 B 1.43

# 2
Below is a geometry-optimized Hf2CdBi2 structure, with properties calculated at the PBE-GGA level.

The symmetry is I4/mmm. The value obtained for the theoretical density is 10.64 Mg/m³. The total energy is -5.4039 eV/atom. The total magnetization is 0.01 μB per cell. For the energy above the most stable polymorph in this dataset, the calculation gives 137 meV per atom.

Cell lengths 4.4264, 4.4264, 14.1315 Å; angles 90.00, 90.00, 90.00 degrees
With the nearest neighbours (Å) after each atom.
Fractional positions:
1 Hf 0.0000 0.0000 0.0989  1 Hf 2.79, 4 Bi 3.08
2 Hf 0.0000 0.0000 0.9011  1 Hf 2.79, 4 Bi 3.08
3 Hf 0.5000 0.5000 0.4011  1 Hf 2.79, 4 Bi 3.08
4 Hf 0.5000 0.5000 0.5989  1 Hf 2.79, 4 Bi 3.08
5 Cd 0.0000 0.0000 0.5000  8 Hf 3.43
6 Cd 0.5000 0.5000 0.0000  8 Hf 3.43
7 Bi 0.0000 0.5000 0.2500  4 Hf 3.08, 4 Bi 3.13
8 Bi 0.0000 0.5000 0.7500  4 Hf 3.08, 4 Bi 3.13
9 Bi 0.5000 0.0000 0.2500  4 Hf 3.08, 4 Bi 3.13
10 Bi 0.5000 0.0000 0.7500  4 Hf 3.08, 4 Bi 3.13

# 3
Below is a geometry-optimized PrHo2Mg3Al2Cd structure, with properties calculated at the PBE-GGA level.

The symmetry is Amm2. The value obtained for the theoretical density is 5.31 Mg/m³. The total energy is -3.3053 eV/atom. The total magnetization is 0.00 μB per cell.

Cell lengths 4.6030, 7.5069, 7.5069 Å; angles 121.07, 90.00, 90.00 degrees
With the nearest neighbours (Å) after each atom.
Fractional positions:
1 Pr 0.0000 0.0000 0.0000  1 Cd 3.24, 4 Al 3.25, 6 Mg 3.33-3.60
2 Ho 0.0000 0.4256 0.8553  4 Al 3.17, 1 Cd 3.18, 2 Mg 3.37
3 Ho 0.0000 0.8553 0.4256  4 Al 3.17, 1 Cd 3.18, 2 Mg 3.37
4 Mg 0.5000 0.1844 0.4292  2 Al 2.85-2.89, 2 Cd 2.97, 1 Mg 3.15
5 Mg 0.5000 0.4292 0.1844  2 Al 2.85-2.89, 2 Cd 2.97, 1 Mg 3.15
6 Mg 0.5000 0.6747 0.6747  2 Cd 2.89, 2 Al 2.90, 2 Mg 3.15
7 Al 0.5000 0.0957 0.7551  3 Mg 2.85-2.90, 4 Ho 3.17
8 Al 0.5000 0.7551 0.0957  3 Mg 2.85-2.90, 4 Ho 3.17
9 Cd 0.0000 0.4389 0.4389  6 Mg 2.89-2.97, 2 Ho 3.18

# 4
Below is a geometry-optimized Y2Ga4PtAu structure, with properties calculated at the PBE-GGA level.

The symmetry is Amm2. The value obtained for the theoretical density is 9.28 Mg/m³. The total energy is -5.1030 eV/atom. The total magnetization is 0.00 μB per cell.

Cell lengths 6.6729, 4.4350, 10.2653 Å; angles 90.00, 90.00, 90.00 degrees
With the nearest neighbours (Å) after each atom.
Fractional positions:
1 Y 0.0000 0.0000 0.0000  3 Au 2.98-3.09, 6 Ga 3.04-3.24
2 Y 0.0000 0.5000 0.5000  3 Au 2.98-3.09, 6 Ga 3.04-3.24
3 Y 0.5000 0.0000 0.1723  3 Pt 2.96-3.11, 6 Ga 3.00-3.23
4 Y 0.5000 0.5000 0.6723  3 Pt 2.96-3.11, 6 Ga 3.00-3.23
5 Ga 0.2031 0.0000 0.7133  1 Pt 2.65, 2 Ga 2.68-2.71, 2 Au 2.72
6 Ga 0.2031 0.5000 0.2133  1 Pt 2.65, 2 Ga 2.68-2.71, 2 Au 2.72
7 Ga 0.3051 0.0000 0.4607  2 Ga 2.60-2.68, 1 Au 2.68, 2 Pt 2.69
8 Ga 0.3051 0.5000 0.9607  2 Ga 2.60-2.68, 1 Au 2.68, 2 Pt 2.69
9 Ga 0.6949 0.0000 0.4607  2 Ga 2.60-2.68, 1 Au 2.68, 2 Pt 2.69
10 Ga 0.6949 0.5000 0.9607  2 Ga 2.60-2.68, 1 Au 2.68, 2 Pt 2.69
11 Ga 0.7969 0.0000 0.7133  1 Pt 2.65, 2 Ga 2.68-2.71, 2 Au 2.72
12 Ga 0.7969 0.5000 0.2133  1 Pt 2.65, 2 Ga 2.68-2.71, 2 Au 2.72
13 Pt 0.5000 0.0000 0.8841  6 Ga 2.65-2.69, 1 Y 2.96
14 Pt 0.5000 0.5000 0.3841  6 Ga 2.65-2.69, 1 Y 2.96
15 Au 0.0000 0.0000 0.2904  6 Ga 2.68-2.72, 1 Y 2.98
16 Au 0.0000 0.5000 0.7904  6 Ga 2.68-2.72, 1 Y 2.98

# 5
Below is a geometry-optimized Cd13Hg5 structure, with properties calculated at the PBE-GGA level.

The symmetry is C2/m. The value obtained for the theoretical density is 10.11 Mg/m³. The total energy is -0.7161 eV/atom. Its formation energy from the elements is 0.013 eV/atom.

Cell lengths 14.2627, 14.2627, 6.4234 Å; angles 98.63, 98.63, 18.26 degrees
With the nearest neighbours (Å) after each atom.
Fractional positions:
1 Cd 0.0000 0.0000 0.0000  4 Hg 3.06-3.21, 8 Cd 3.16-3.20
2 Cd 0.1117 0.1117 0.5773  5 Hg 3.10-3.24, 7 Cd 3.12-3.25
3 Cd 0.2212 0.2212 0.1118  4 Hg 3.08-3.11, 8 Cd 3.15-3.24
4 Cd 0.2233 0.2233 0.6097  10 Cd 3.07-3.23, 2 Hg 3.21
5 Cd 0.3333 0.3333 0.6602  8 Cd 3.07-3.25, 4 Hg 3.10-3.24
6 Cd 0.4439 0.4439 0.2051  7 Cd 3.10-3.22, 5 Hg 3.13-3.21
7 Cd 0.4448 0.4448 0.7043  8 Cd 3.10-3.22, 4 Hg 3.14-3.17
8 Cd 0.5552 0.5552 0.2957  8 Cd 3.10-3.22, 4 Hg 3.14-3.17
9 Cd 0.5561 0.5561 0.7949  7 Cd 3.10-3.22, 5 Hg 3.13-3.21
10 Cd 0.6667 0.6667 0.3398  8 Cd 3.07-3.25, 4 Hg 3.10-3.24
11 Cd 0.7767 0.7767 0.3903  10 Cd 3.07-3.23, 2 Hg 3.21
12 Cd 0.7788 0.7788 0.8882  4 Hg 3.08-3.11, 8 Cd 3.15-3.24
13 Cd 0.8883 0.8883 0.4227  5 Hg 3.10-3.24, 7 Cd 3.12-3.25
14 Hg 0.0000 0.0000 0.5000  12 Cd 3.11-3.21
15 Hg 0.1099 0.1099 0.0811  10 Cd 3.06-3.24, 2 Hg 3.33
16 Hg 0.3319 0.3319 0.1643  10 Cd 3.08-3.24, 2 Hg 3.33
17 Hg 0.6681 0.6681 0.8357  10 Cd 3.08-3.24, 2 Hg 3.33
18 Hg 0.8901 0.8901 0.9189  10 Cd 3.06-3.24, 2 Hg 3.33

# 6
Below is a geometry-optimized ScAgTe3Pb structure, with properties calculated at the PBE-GGA level.

The symmetry is Pnma. The value obtained for the theoretical density is 7.10 Mg/m³. The total energy is -4.3607 eV/atom. The total magnetization is 0.02 μB per cell. For the energy above the most stable polymorph in this dataset, the calculation gives 0 meV per atom.

Cell lengths 14.4053, 4.2599, 11.3189 Å; angles 90.00, 90.00, 90.00 degrees
With the nearest neighbours (Å) after each atom.
Fractional positions:
1 Sc 0.0107 0.2500 0.1769  6 Te 2.91-2.98
2 Sc 0.4893 0.7500 0.6769  6 Te 2.91-2.98
3 Sc 0.5107 0.2500 0.3231  6 Te 2.91-2.98
4 Sc 0.9893 0.7500 0.8231  6 Te 2.91-2.98
5 Ag 0.0095 0.7500 0.4110  4 Te 2.81-2.95, 2 Ag 2.94
6 Ag 0.4905 0.2500 0.9110  4 Te 2.81-2.95, 2 Ag 2.94
7 Ag 0.5095 0.7500 0.0890  4 Te 2.81-2.95, 2 Ag 2.94
8 Ag 0.9905 0.2500 0.5890  4 Te 2.81-2.95, 2 Ag 2.94
9 Te 0.1011 0.2500 0.9405  3 Sc 2.98, 2 Pb 3.29
10 Te 0.1217 0.7500 0.6290  3 Ag 2.88-2.95, 1 Sc 2.91
11 Te 0.1476 0.7500 0.2359  1 Ag 2.81, 2 Sc 2.98
12 Te 0.3524 0.2500 0.7359  1 Ag 2.81, 2 Sc 2.98
13 Te 0.3783 0.2500 0.1290  3 Ag 2.88-2.95, 1 Sc 2.91
14 Te 0.3989 0.7500 0.4405  3 Sc 2.98, 2 Pb 3.29
15 Te 0.6011 0.2500 0.5595  3 Sc 2.98, 2 Pb 3.29
16 Te 0.6217 0.7500 0.8710  3 Ag 2.88-2.95, 1 Sc 2.91
17 Te 0.6476 0.7500 0.2641  1 Ag 2.81, 2 Sc 2.98
18 Te 0.8524 0.2500 0.7641  1 Ag 2.81, 2 Sc 2.98
19 Te 0.8783 0.2500 0.3710  3 Ag 2.88-2.95, 1 Sc 2.91
20 Te 0.8989 0.7500 0.0595  3 Sc 2.98, 2 Pb 3.29
21 Pb 0.2248 0.2500 0.4449  6 Te 3.29-3.37
22 Pb 0.2752 0.7500 0.9449  6 Te 3.29-3.37
23 Pb 0.7248 0.2500 0.0551  6 Te 3.29-3.37
24 Pb 0.7752 0.7500 0.5551  6 Te 3.29-3.37

# 7
Below is a geometry-optimized LaAgTe3Pb structure, with properties calculated at the PBE-GGA level.

The symmetry is Pnma. The value obtained for the theoretical density is 6.99 Mg/m³. The total energy is -4.2734 eV/atom. The total magnetization is 0.01 μB per cell. For the energy above the most stable polymorph in this dataset, the calculation gives 8 meV per atom.

Cell lengths 14.8085, 4.4582, 12.0524 Å; angles 90.00, 90.00, 90.00 degrees
With the nearest neighbours (Å) after each atom.
Fractional positions:
1 La 0.0114 0.2500 0.1765  6 Te 3.18-3.25
2 La 0.4886 0.7500 0.6765  6 Te 3.18-3.25
3 La 0.5114 0.2500 0.3235  6 Te 3.18-3.25
4 La 0.9886 0.7500 0.8235  6 Te 3.18-3.25
5 Ag 0.0056 0.7500 0.4159  4 Te 2.87-2.94, 2 Ag 3.02
6 Ag 0.4944 0.2500 0.9159  4 Te 2.87-2.94, 2 Ag 3.02
7 Ag 0.5056 0.7500 0.0841  4 Te 2.87-2.94, 2 Ag 3.02
8 Ag 0.9944 0.2500 0.5841  4 Te 2.87-2.94, 2 Ag 3.02
9 Te 0.1150 0.2500 0.9392  3 La 3.23-3.25, 2 Pb 3.32
10 Te 0.1199 0.7500 0.6150  3 Ag 2.93-2.94, 1 La 3.18
11 Te 0.1512 0.7500 0.2592  1 Ag 2.87, 2 La 3.20
12 Te 0.3488 0.2500 0.7592  1 Ag 2.87, 2 La 3.20
13 Te 0.3801 0.2500 0.1150  3 Ag 2.93-2.94, 1 La 3.18
14 Te 0.3850 0.7500 0.4392  3 La 3.23-3.25, 2 Pb 3.32
15 Te 0.6150 0.2500 0.5608  3 La 3.23-3.25, 2 Pb 3.32
16 Te 0.6199 0.7500 0.8850  3 Ag 2.93-2.94, 1 La 3.18
17 Te 0.6512 0.7500 0.2408  1 Ag 2.87, 2 La 3.20
18 Te 0.8488 0.2500 0.7408  1 Ag 2.87, 2 La 3.20
19 Te 0.8801 0.2500 0.3850  3 Ag 2.93-2.94, 1 La 3.18
20 Te 0.8850 0.7500 0.0608  3 La 3.23-3.25, 2 Pb 3.32
21 Pb 0.2187 0.2500 0.4491  6 Te 3.32-3.35, 1 Ag 3.70
22 Pb 0.2813 0.7500 0.9491  6 Te 3.32-3.35, 1 Ag 3.70
23 Pb 0.7187 0.2500 0.0509  6 Te 3.32-3.35, 1 Ag 3.70
24 Pb 0.7813 0.7500 0.5509  6 Te 3.32-3.35, 1 Ag 3.70

# 8
Below is a geometry-optimized LuTaAlCu structure, with properties calculated at the PBE-GGA level.

The symmetry is F-43m. The value obtained for the theoretical density is 10.14 Mg/m³. The total energy is -5.6565 eV/atom. The total magnetization is 6.63 μB per cell. For the energy above the most stable polymorph in this dataset, the calculation gives 0 meV per atom.

Cell lengths 6.6385, 6.6385, 6.6385 Å; angles 90.00, 90.00, 90.00 degrees
With the nearest neighbours (Å) after each atom.
Fractional positions:
1 Lu 0.0000 0.0000 0.0000  4 Ta 2.87, 4 Cu 2.87
2 Lu 0.0000 0.5000 0.5000  4 Ta 2.87, 4 Cu 2.87
3 Lu 0.5000 0.0000 0.5000  4 Ta 2.87, 4 Cu 2.87
4 Lu 0.5000 0.5000 0.0000  4 Ta 2.87, 4 Cu 2.87
5 Ta 0.2500 0.2500 0.2500  4 Al 2.87, 4 Lu 2.87
6 Ta 0.2500 0.7500 0.7500  4 Al 2.87, 4 Lu 2.87
7 Ta 0.7500 0.2500 0.7500  4 Al 2.87, 4 Lu 2.87
8 Ta 0.7500 0.7500 0.2500  4 Al 2.87, 4 Lu 2.87
9 Al 0.0000 0.0000 0.5000  4 Ta 2.87, 4 Cu 2.87
10 Al 0.0000 0.5000 0.0000  4 Ta 2.87, 4 Cu 2.87
11 Al 0.5000 0.0000 0.0000  4 Ta 2.87, 4 Cu 2.87
12 Al 0.5000 0.5000 0.5000  4 Ta 2.87, 4 Cu 2.87
13 Cu 0.2500 0.2500 0.7500  4 Al 2.87, 4 Lu 2.87
14 Cu 0.2500 0.7500 0.2500  4 Al 2.87, 4 Lu 2.87
15 Cu 0.7500 0.2500 0.2500  4 Al 2.87, 4 Lu 2.87
16 Cu 0.7500 0.7500 0.7500  4 Al 2.87, 4 Lu 2.87

# 9
Below is a geometry-optimized CsLuNO structure, with properties calculated at the PBE-GGA level.

The symmetry is P4/nmm. The value obtained for the theoretical density is 5.52 Mg/m³. The total energy is -5.3607 eV/atom. The total magnetization is 2.00 μB per cell. For the energy above the most stable polymorph in this dataset, the calculation gives 343 meV per atom.

Cell lengths 4.4154, 4.4154, 10.4214 Å; angles 90.00, 90.00, 90.00 degrees
With the nearest neighbours (Å) after each atom.
Fractional positions:
1 Cs 0.2500 0.2500 0.1589  4 O 2.76
2 Cs 0.7500 0.7500 0.8411  4 O 2.76
3 Lu 0.2500 0.7500 0.5000  4 N 2.26
4 Lu 0.7500 0.2500 0.5000  4 N 2.26
5 N 0.2500 0.2500 0.5455  4 Lu 2.26
6 N 0.7500 0.7500 0.4545  4 Lu 2.26
7 O 0.2500 0.7500 0.0000  4 Cs 2.76
8 O 0.7500 0.2500 0.0000  4 Cs 2.76

# 10
Below is a geometry-optimized Li4ZnPt2Pb structure, with properties calculated at the PBE-GGA level.

The symmetry is P-4m2. The value obtained for the theoretical density is 9.27 Mg/m³. The total energy is -3.5843 eV/atom. The total magnetization is 0.01 μB per cell.

Cell lengths 4.4208, 4.4208, 6.3262 Å; angles 90.00, 90.00, 90.00 degrees
With the nearest neighbours (Å) after each atom.
Fractional positions:
1 Li 0.0000 0.0000 0.0000  4 Pt 2.80, 4 Li 2.84, 4 Pb 3.13
2 Li 0.0000 0.5000 0.7178  4 Li 2.60-2.84, 2 Zn 2.60, 1 Pt 2.82, 2 Pb 2.84
3 Li 0.5000 0.0000 0.2822  4 Li 2.60-2.84, 2 Zn 2.60, 1 Pt 2.82, 2 Pb 2.84
4 Li 0.5000 0.5000 0.5000  4 Li 2.60, 4 Pt 2.64
5 Zn 0.0000 0.0000 0.5000  4 Li 2.60, 4 Pt 2.64
6 Pt 0.0000 0.5000 0.2724  5 Li 2.64-2.82, 2 Zn 2.64, 2 Pb 2.80
7 Pt 0.5000 0.0000 0.7276  5 Li 2.64-2.82, 2 Zn 2.64, 2 Pb 2.80
8 Pb 0.5000 0.5000 0.0000  4 Pt 2.80, 8 Li 2.84-3.13

# 11
Below is a geometry-optimized UInNi structure, with properties calculated at the PBE-GGA level.

The symmetry is F-43m. The value obtained for the theoretical density is 10.68 Mg/m³. The total energy is -6.4284 eV/atom. The total magnetization is 4.06 μB per cell.

Cell lengths 6.3495, 6.3495, 6.3495 Å; angles 90.00, 90.00, 90.00 degrees
With the nearest neighbours (Å) after each atom.
Fractional positions:
1 U 0.0000 0.0000 0.0000  4 Ni 2.75
2 U 0.0000 0.5000 0.5000  4 Ni 2.75
3 U 0.5000 0.0000 0.5000  4 Ni 2.75
4 U 0.5000 0.5000 0.0000  4 Ni 2.75
5 In 0.0000 0.0000 0.5000  4 Ni 2.75
6 In 0.0000 0.5000 0.0000  4 Ni 2.75
7 In 0.5000 0.0000 0.0000  4 Ni 2.75
8 In 0.5000 0.5000 0.5000  4 Ni 2.75
9 Ni 0.2500 0.2500 0.2500  4 In 2.75, 4 U 2.75
10 Ni 0.2500 0.7500 0.7500  4 In 2.75, 4 U 2.75
11 Ni 0.7500 0.2500 0.7500  4 In 2.75, 4 U 2.75
12 Ni 0.7500 0.7500 0.2500  4 In 2.75, 4 U 2.75

# 12
Below is a geometry-optimized Pm2CI structure, with properties calculated at the PBE-GGA level.

The symmetry is R-3m. The value obtained for the theoretical density is 7.16 Mg/m³. The total energy is -5.7800 eV/atom. The total magnetization is 0.01 μB per cell.

Cell lengths 3.8621, 3.8621, 23.1153 Å; angles 90.00, 90.00, 120.00 degrees
With the nearest neighbours (Å) after each atom.
Fractional positions:
1 Pm 0.0000 0.0000 0.2241  3 C 2.60
2 Pm 0.0000 0.0000 0.7759  3 C 2.60
3 Pm 0.3333 0.6667 0.4426  3 C 2.60
4 Pm 0.3333 0.6667 0.8908  3 C 2.60
5 Pm 0.6667 0.3333 0.1092  3 C 2.60
6 Pm 0.6667 0.3333 0.5574  3 C 2.60
7 C 0.0000 0.0000 0.5000  6 Pm 2.60
8 C 0.3333 0.6667 0.1667  6 Pm 2.60
9 C 0.6667 0.3333 0.8333  6 Pm 2.60
10 I 0.0000 0.0000 0.0000  6 Pm 3.37
11 I 0.3333 0.6667 0.6667  6 Pm 3.37
12 I 0.6667 0.3333 0.3333  6 Pm 3.37